An optimized crystal structure of Mn2AsO5. Source: Alexandria, functional GGA+U.

Geometry as CIF:
```
data_Mn2AsO5
_space_group_name_H-M_alt 'P 1'
_space_group_IT_number 1
_space_group_name_Hall 'P 1'
_cell_length_a 6.139
_cell_length_b 8.813
_cell_length_c 8.639
_cell_angle_alpha 90.00
_cell_angle_beta 90.00
_cell_angle_gamma 90.00
loop_
_atom_site_label
_atom_site_type_symbol
_atom_site_fract_x
_atom_site_fract_y
_atom_site_fract_z
Mn1 Mn 0.240 0.000 0.000
Mn2 Mn 0.760 0.000 0.000
Mn3 Mn 0.000 0.126 0.648
Mn4 Mn 0.500 0.374 0.148
Mn5 Mn 0.260 0.500 0.500
Mn6 Mn 0.740 0.500 0.500
Mn7 Mn 0.500 0.626 0.852
Mn8 Mn 0.000 0.874 0.352
As1 As 0.000 0.245 0.263
As2 As 0.500 0.255 0.763
As3 As 0.500 0.745 0.237
As4 As 0.000 0.755 0.737
O1 O 0.000 0.070 0.871
O2 O 0.500 0.083 0.868
O3 O 0.000 0.108 0.405
O4 O 0.229 0.231 0.151
O5 O 0.771 0.231 0.151
O6 O 0.271 0.269 0.651
O7 O 0.729 0.269 0.651
O8 O 0.500 0.392 0.905
O9 O 0.000 0.417 0.368
O10 O 0.500 0.430 0.371
O11 O 0.500 0.570 0.629
O12 O 0.000 0.583 0.632
O13 O 0.500 0.608 0.095
O14 O 0.271 0.731 0.349
O15 O 0.729 0.731 0.349
O16 O 0.229 0.769 0.849
O17 O 0.771 0.769 0.849
O18 O 0.000 0.892 0.595
O19 O 0.500 0.917 0.132
O20 O 0.000 0.930 0.129
```

Results
Final energy (eV/atom): -7.07
Excess energy over the best structure of this formula in the dataset (meV per atom): 0.0
Space-group type: Pnnm (58)